No. 1
# Li5PdPb | Alexandria | PBE-GGA | relaxed
# Calculated formation energy = -0.0015 eV per atom
# Density = 3.5 g/cm³
data_Li5PdPb
_chemical_formula_sum 'Li10 Pd2 Pb2'
_cell_length_a 6.1252
_cell_length_b 10.1340
_cell_length_c 5.2938
_cell_angle_alpha 90.00
_cell_angle_beta 90.00
_cell_angle_gamma 90.00
_space_group_name_H-M_alt 'I m m 2'
_space_group_IT_number 44
loop_
_space_group_symop_operation_xyz
'x,y,z'
'-x,-y,z'
'-x,y,z'
'x,-y,z'
'x+1/2,y+1/2,z+1/2'
'-x+1/2,-y+1/2,z+1/2'
'-x+1/2,y+1/2,z+1/2'
'x+1/2,-y+1/2,z+1/2'
loop_
_atom_site_label
_atom_site_type_symbol
_atom_site_fract_x
_atom_site_fract_y
_atom_site_fract_z
Li1 Li 0.0000 0.0000 0.0000
Li2 Li 0.0000 0.2405 0.4801
Li3 Li 0.1871 0.5000 0.7857
Pd1 Pd 0.0000 0.0000 0.5565
Pb1 Pb 0.0000 0.5000 0.2647



No. 2
# CsAcN | Alexandria | PBE-GGA | relaxed
# Density = 5.5 g/cm³
# Uncorrected formation energy = -432 meV/atom
data_CsAcN
_chemical_formula_sum 'Cs1 Ac1 N1'
_cell_length_a 4.0436
_cell_length_b 4.0436
_cell_length_c 7.9936
_cell_angle_alpha 90.00
_cell_angle_beta 90.00
_cell_angle_gamma 120.00
_space_group_name_H-M_alt 'P 3 m 1'
_space_group_IT_number 156
loop_
_space_group_symop_operation_xyz
'x,y,z'
'-y,x-y,z'
'-x+y,-x,z'
'-y,-x,z'
'-x+y,y,z'
'x,x-y,z'
loop_
_atom_site_label
_atom_site_type_symbol
_atom_site_fract_x
_atom_site_fract_y
_atom_site_fract_z
Cs1 Cs 0.0000 0.0000 0.0000
Ac1 Ac 0.3333 0.6667 0.4180
N1 N 0.6667 0.3333 0.3094



Looking at energy above the lowest structure with this stoichiometry for the records above, in order, we have 209.1, 0.0 meV per atom.
Looking at final energy for the records above, in order, we have -2.64, -4.86 eV/atom.